Density functional theory data (GGA-PBE) for a geometry-optimized NbCr2BiC structure.

Lattice parameters (Å, degrees): 4.9229 4.9229 4.1594 90.00 90.00 90.00
With the nearest neighbours (Å) after each atom.
Fractional positions:
Nb  0.0000  0.0000  0.0000  2 C 2.08
Cr  0.0000  0.5000  0.0000  2 Nb 2.46
Cr  0.5000  0.0000  0.0000  2 Nb 2.46
Bi  0.5000  0.5000  0.5000  8 Cr 3.22, 4 C 3.48
C  0.0000  0.0000  0.5000  2 Nb 2.08

Computed properties:
Energy of formation from the pure elements, eV/atom: 1.498
Volume, A^3/atom: 20.16

---

Density functional theory data (GGA-PBE) for a geometry-optimized Pm5PrY structure.

Lattice parameters (Å, degrees): 6.9500 6.9500 12.4416 108.06 108.06 60.06
With the nearest neighbours (Å) after each atom.
Fractional positions:
Pm  0.0787  0.9213  0.7500  2 Pm 3.03, 1 Y 3.11
Pm  0.0848  0.3536  0.7498  2 Pm 3.03-3.32, 1 Pr 3.36
Pm  0.1519  0.6921  0.9985  4 Pm 3.32-3.70, 1 Y 3.38
Pm  0.3079  0.8481  0.5015  4 Pm 3.32-3.70, 1 Y 3.38
Pm  0.3536  0.0848  0.2498  2 Pm 3.03-3.32, 1 Pr 3.36
Pm  0.6464  0.9152  0.7502  2 Pm 3.03-3.32, 1 Pr 3.36
Pm  0.6921  0.1519  0.4985  4 Pm 3.32-3.70, 1 Y 3.38
Pm  0.8481  0.3079  0.0015  4 Pm 3.32-3.70, 1 Y 3.38
Pm  0.9152  0.6464  0.2502  2 Pm 3.03-3.32, 1 Pr 3.36
Pm  0.9213  0.0787  0.2500  2 Pm 3.03, 1 Y 3.11
Pr  0.0000  0.5000  0.5000  4 Pm 3.36-3.67
Pr  0.5000  0.0000  0.0000  4 Pm 3.36-3.67
Y  0.4740  0.5260  0.2500  3 Pm 3.11-3.38
Y  0.5260  0.4740  0.7500  3 Pm 3.11-3.38

Computed properties:
Energy of formation from the pure elements, eV/atom: 0.165
Volume, A^3/atom: 34.73
Energy above the most stable polymorph in this dataset, meV/atom: 0